Tc2MoPb: relaxed, GGA-PBE.

- Fermi-level density of states (states/eV per cell) = 6.78
- formation energy (kJ per mole of atoms) = 49

Unit cell a=9.336 b=3.063 c=5.021 alpha=90.00 beta=104.18 gamma=90.00
Fractional positions:
Tc 0.233 0.000 0.204
Tc 0.267 0.500 0.796
Tc 0.733 0.500 0.204
Tc 0.767 0.000 0.796
Mo 0.000 0.500 0.000
Mo 0.500 0.000 0.000
Pb 0.000 0.000 0.500
Pb 0.500 0.500 0.500


Zr5Ir2Rh: relaxed, GGA-PBE.

- Fermi-level density of states (states/eV per cell) = 13.20
- formation energy (kJ per mole of atoms) = -55

Unit cell a=6.762 b=11.035 c=4.365 alpha=90.00 beta=90.00 gamma=90.00
Fractional positions:
Zr 0.000 0.000 0.000
Zr 0.156 0.283 0.000
Zr 0.177 0.593 0.500
Zr 0.323 0.093 0.500
Zr 0.344 0.783 0.000
Zr 0.500 0.500 0.000
Zr 0.656 0.217 0.000
Zr 0.677 0.907 0.500
Zr 0.823 0.407 0.500
Zr 0.844 0.717 0.000
Ir 0.052 0.834 0.500
Ir 0.448 0.334 0.500
Ir 0.552 0.666 0.500
Ir 0.948 0.166 0.500
Rh 0.000 0.500 0.000
Rh 0.500 0.000 0.000


Question: The highest formation energy belongs to which entry?
Answer: Tc2MoPb


Question: Look up the Fermi-level density of states of the first one.
Answer: 6.78 states/eV per cell


Repeat the second record exactly.
Zr5Ir2Rh: relaxed, GGA-PBE.

- Fermi-level density of states (states/eV per cell) = 13.20
- formation energy (kJ per mole of atoms) = -55

Unit cell a=6.762 b=11.035 c=4.365 alpha=90.00 beta=90.00 gamma=90.00
Fractional positions:
Zr 0.000 0.000 0.000
Zr 0.156 0.283 0.000
Zr 0.177 0.593 0.500
Zr 0.323 0.093 0.500
Zr 0.344 0.783 0.000
Zr 0.500 0.500 0.000
Zr 0.656 0.217 0.000
Zr 0.677 0.907 0.500
Zr 0.823 0.407 0.500
Zr 0.844 0.717 0.000
Ir 0.052 0.834 0.500
Ir 0.448 0.334 0.500
Ir 0.552 0.666 0.500
Ir 0.948 0.166 0.500
Rh 0.000 0.500 0.000
Rh 0.500 0.000 0.000


Question: Which of these has the highest formation energy?
Answer: Tc2MoPb